# 1
# Nd3Dy2Y4 (PBE, optimized geometry)
# - E_form: 85 kJ/mol of formula units
# - Energy: -5.39 eV per atom
data_Nd3Dy2Y4
_chemical_formula_sum 'Nd12 Dy8 Y16'
_symmetry_space_group_name_H-M 'C 1 2/c 1'
_symmetry_Int_Tables_number 15
_cell_length_a 16.7250
_cell_length_b 11.7343
_cell_length_c 6.1031
_cell_angle_alpha 90.00
_cell_angle_beta 97.36
_cell_angle_gamma 90.00
loop_
_symmetry_equiv_pos_as_xyz
'x,y,z'
'-x,-y,-z'
'-x,y,-z+1/2'
'x,-y,z+1/2'
'x+1/2,y+1/2,z'
'-x+1/2,-y+1/2,-z'
'-x+1/2,y+1/2,-z+1/2'
'x+1/2,-y+1/2,z+1/2'
loop_
_atom_site_label
_atom_site_type_symbol
_atom_site_fract_x
_atom_site_fract_y
_atom_site_fract_z
Nd1 Nd 0.0000 0.1026 0.2500
Nd2 Nd 0.1667 0.3927 0.0825
Dy1 Dy 0.1160 0.1358 0.8165
Y1 Y 0.0497 0.3662 0.5188
Y2 Y 0.2156 0.1296 0.3554

=====

# 2
# HfPd5Au6 (PBE, optimized geometry)
# - E_form: -337 kJ/mol of formula units
# - Energy: -4.92 eV per atom
data_HfPd5Au6
_chemical_formula_sum 'Hf2 Pd10 Au12'
_symmetry_space_group_name_H-M 'I m m m'
_symmetry_Int_Tables_number 71
_symmetry_space_group_name_Hall '-I 2 2'
_cell_length_a 4.0688
_cell_length_b 8.1255
_cell_length_c 12.3064
_cell_angle_alpha 90.00
_cell_angle_beta 90.00
_cell_angle_gamma 90.00
loop_
_atom_site_label
_atom_site_type_symbol
_atom_site_fract_x
_atom_site_fract_y
_atom_site_fract_z
Hf1 Hf 0.0000 0.0000 0.0000
Pd1 Pd 0.0000 0.0000 0.3318
Pd2 Pd 0.0000 0.5000 0.0000
Pd3 Pd 0.0000 0.5000 0.3427
Au1 Au 0.0000 0.2429 0.5000
Au2 Au 0.0000 0.2518 0.1673

=====

# 3
# LiCr2GeI (PBE, optimized geometry)
# - Formation energy without anion corrections: 0.383 eV per atom
# - Energy: -5.08 eV per atom
data_LiCr2GeI
_chemical_formula_sum 'Li1 Cr2 Ge1 I1'
_symmetry_space_group_name_H-M 'P 4/m m m'
_symmetry_Int_Tables_number 123
_symmetry_space_group_name_Hall '-P 4 2'
_cell_length_a 4.8839
_cell_length_b 4.8839
_cell_length_c 5.0348
_cell_angle_alpha 90.00
_cell_angle_beta 90.00
_cell_angle_gamma 90.00
loop_
_atom_site_label
_atom_site_type_symbol
_atom_site_fract_x
_atom_site_fract_y
_atom_site_fract_z
Li1 Li 0.0000 0.0000 0.0000
Cr1 Cr 0.0000 0.5000 0.5000
Ge1 Ge 0.0000 0.0000 0.5000
I1 I 0.5000 0.5000 0.0000

=====

# 4
# LiCu2F8 (PBE, optimized geometry)
# - Formation energy without anion corrections: -1.451 eV per atom
# - Energy: -3.73 eV per atom
data_LiCu2F8
_chemical_formula_sum 'Li2 Cu4 F16'
_symmetry_space_group_name_H-M 'I 4 2 2'
_symmetry_Int_Tables_number 97
_symmetry_space_group_name_Hall 'I 4 2'
_cell_length_a 5.2701
_cell_length_b 5.2701
_cell_length_c 9.8322
_cell_angle_alpha 90.00
_cell_angle_beta 90.00
_cell_angle_gamma 90.00
loop_
_atom_site_label
_atom_site_type_symbol
_atom_site_fract_x
_atom_site_fract_y
_atom_site_fract_z
Li1 Li 0.0000 0.0000 0.0000
Cu1 Cu 0.0000 0.5000 0.2500
F1 F 0.1624 0.3195 0.8753

=====

# 5
# V2CdTe (PBE, optimized geometry)
# - Formation energy without anion corrections: 0.453 eV per atom
# - Energy: -5.12 eV per atom
data_V2CdTe
_chemical_formula_sum 'V8 Cd4 Te4'
_symmetry_space_group_name_H-M 'F m -3 m'
_symmetry_Int_Tables_number 225
_symmetry_space_group_name_Hall '-F 4 2 3'
_cell_length_a 6.6737
_cell_length_b 6.6737
_cell_length_c 6.6737
_cell_angle_alpha 90.00
_cell_angle_beta 90.00
_cell_angle_gamma 90.00
loop_
_atom_site_label
_atom_site_type_symbol
_atom_site_fract_x
_atom_site_fract_y
_atom_site_fract_z
V1 V 0.2500 0.2500 0.2500
Cd1 Cd 0.0000 0.0000 0.0000
Te1 Te 0.0000 0.0000 0.5000

=====

# 6
# SmTiPd2 (PBE, optimized geometry)
# - E_form: -190 kJ/mol of formula units
# - Energy: -6.24 eV per atom
data_SmTiPd2
_chemical_formula_sum 'Sm1 Ti1 Pd2'
_symmetry_space_group_name_H-M 'P 4/m m m'
_symmetry_Int_Tables_number 123
_symmetry_space_group_name_Hall '-P 4 2'
_cell_length_a 4.8616
_cell_length_b 4.8616
_cell_length_c 3.2833
_cell_angle_alpha 90.00
_cell_angle_beta 90.00
_cell_angle_gamma 90.00
loop_
_atom_site_label
_atom_site_type_symbol
_atom_site_fract_x
_atom_site_fract_y
_atom_site_fract_z
Sm1 Sm 0.0000 0.0000 0.0000
Ti1 Ti 0.5000 0.5000 0.0000
Pd1 Pd 0.0000 0.5000 0.5000

=====

# 7
# YZnAs2Br (PBE, optimized geometry)
# - Formation energy without anion corrections: 0.067 eV per atom
# - Energy: -3.68 eV per atom
data_YZnAs2Br
_chemical_formula_sum 'Y1 Zn1 As2 Br1'
_symmetry_space_group_name_H-M 'P 4/m m m'
_symmetry_Int_Tables_number 123
_symmetry_space_group_name_Hall '-P 4 2'
_cell_length_a 5.5773
_cell_length_b 5.5773
_cell_length_c 5.5252
_cell_angle_alpha 90.00
_cell_angle_beta 90.00
_cell_angle_gamma 90.00
loop_
_atom_site_label
_atom_site_type_symbol
_atom_site_fract_x
_atom_site_fract_y
_atom_site_fract_z
Y1 Y 0.0000 0.0000 0.0000
Zn1 Zn 0.5000 0.5000 0.5000
As1 As 0.0000 0.5000 0.0000
Br1 Br 0.0000 0.0000 0.5000

=====

# 8
# InTc2Cl (PBE, optimized geometry)
# - Formation energy without anion corrections: 0.470 eV per atom
# - Energy: -5.86 eV per atom
data_InTc2Cl
_chemical_formula_sum 'In2 Tc4 Cl2'
_symmetry_space_group_name_H-M 'C 1 m 1'
_symmetry_Int_Tables_number 8
_cell_length_a 10.4833
_cell_length_b 2.9134
_cell_length_c 5.3595
_cell_angle_alpha 90.00
_cell_angle_beta 118.52
_cell_angle_gamma 90.00
loop_
_symmetry_equiv_pos_as_xyz
'x,y,z'
'x,-y,z'
'x+1/2,y+1/2,z'
'x+1/2,-y+1/2,z'
loop_
_atom_site_label
_atom_site_type_symbol
_atom_site_fract_x
_atom_site_fract_y
_atom_site_fract_z
In1 In 0.0000 0.0000 0.0000
Tc1 Tc 0.0308 0.5000 0.5539
Tc2 Tc 0.2430 0.0000 0.5764
Cl1 Cl 0.3152 0.5000 0.2971

=====

# 9
# La5ThTl6 (PBE, optimized geometry)
# - E_form: -421 kJ/mol of formula units
# - Energy: -4.22 eV per atom
data_La5ThTl6
_chemical_formula_sum 'La5 Th1 Tl6'
_symmetry_space_group_name_H-M 'P 1 2/m 1'
_symmetry_Int_Tables_number 10
_cell_length_a 5.6394
_cell_length_b 7.8642
_cell_length_c 8.8992
_cell_angle_alpha 90.00
_cell_angle_beta 108.31
_cell_angle_gamma 90.00
loop_
_symmetry_equiv_pos_as_xyz
'x,y,z'
'-x,-y,-z'
'-x,y,-z'
'x,-y,z'
loop_
_atom_site_label
_atom_site_type_symbol
_atom_site_fract_x
_atom_site_fract_y
_atom_site_fract_z
La1 La 0.0000 0.0000 0.0000
La2 La 0.3317 0.0000 0.6637
La3 La 0.3348 0.5000 0.6700
Th1 Th 0.0000 0.5000 0.0000
Tl1 Tl 0.1662 0.2521 0.3322
Tl2 Tl 0.5000 0.2493 0.0000

=====

# 10
# Te4Os (PBE, optimized geometry)
# - Formation energy without anion corrections: 0.624 eV per atom
# - Energy: -4.14 eV per atom
data_Te4Os
_chemical_formula_sum 'Te4 Os1'
_symmetry_space_group_name_H-M 'P m -3 m'
_symmetry_Int_Tables_number 221
_symmetry_space_group_name_Hall '-P 4 2 3'
_cell_length_a 5.2476
_cell_length_b 5.2476
_cell_length_c 5.2476
_cell_angle_alpha 90.00
_cell_angle_beta 90.00
_cell_angle_gamma 90.00
loop_
_atom_site_label
_atom_site_type_symbol
_atom_site_fract_x
_atom_site_fract_y
_atom_site_fract_z
Te1 Te 0.0000 0.0000 0.0000
Te2 Te 0.0000 0.5000 0.5000
Os1 Os 0.5000 0.5000 0.5000

=====

# 11
# Tb5Sm3Hg2 (PBE, optimized geometry)
# - E_form: 36 kJ/mol of formula units
# - Energy: -3.75 eV per atom
data_Tb5Sm3Hg2
_chemical_formula_sum 'Tb20 Sm12 Hg8'
_symmetry_space_group_name_H-M 'I b a m'
_symmetry_Int_Tables_number 72
_symmetry_space_group_name_Hall '-I 2 2c'
_cell_length_a 13.8394
_cell_length_b 13.8452
_cell_length_c 6.8021
_cell_angle_alpha 90.00
_cell_angle_beta 90.00
_cell_angle_gamma 90.00
loop_
_atom_site_label
_atom_site_type_symbol
_atom_site_fract_x
_atom_site_fract_y
_atom_site_fract_z
Tb1 Tb 0.0000 0.0000 0.2500
Tb2 Tb 0.0838 0.1828 0.0000
Tb3 Tb 0.2280 0.0000 0.2500
Sm1 Sm 0.0000 0.5000 0.2500
Sm2 Sm 0.1544 0.2766 0.5000
Hg1 Hg 0.1406 0.3793 0.0000

=====

# 12
# ZnIn2Cl8 (PBE, optimized geometry)
# - Formation energy without anion corrections: -1.072 eV per atom
# - Energy: -3.03 eV per atom
data_ZnIn2Cl8
_chemical_formula_sum 'Zn2 In4 Cl16'
_symmetry_space_group_name_H-M 'C 1 2/m 1'
_symmetry_Int_Tables_number 12
_cell_length_a 13.4744
_cell_length_b 7.6198
_cell_length_c 6.3796
_cell_angle_alpha 90.00
_cell_angle_beta 103.60
_cell_angle_gamma 90.00
loop_
_symmetry_equiv_pos_as_xyz
'x,y,z'
'-x,-y,-z'
'-x,y,-z'
'x,-y,z'
'x+1/2,y+1/2,z'
'-x+1/2,-y+1/2,-z'
'-x+1/2,y+1/2,-z'
'x+1/2,-y+1/2,z'
loop_
_atom_site_label
_atom_site_type_symbol
_atom_site_fract_x
_atom_site_fract_y
_atom_site_fract_z
Zn1 Zn 0.0000 0.0000 0.0000
In1 In 0.0000 0.2575 0.5000
Cl1 Cl 0.1026 0.2279 0.2258
Cl2 Cl 0.1127 0.0000 0.7263
Cl3 Cl 0.1158 0.5000 0.6990